## MoOsF2 (PBE with a Hubbard U)

Data for a relaxed structure of MoOsF2.

Its volume is 203 Å³/cell. The uncorrected energy comes out at -5.6171 eV/atom.

The space group is R-3m (No. 166, hexagonal axes) and the conventional cell measures 2.7268, 2.7268 and 31.4650 Å, with angles of 90.00, 90.00 and 120.00 degrees. Symmetry generates all atoms from Mo at (0.0000, 0.0000, 0.0000), Os at (0.0000, 0.0000, 0.5000) and F at (0.0000, 0.0000, 0.0602).